[1]
A plane-wave DFT calculation with PBE was carried out for crystalline Ba2LiAl3Sn4 at its relaxed geometry.

Output
Calculated total energy   -3.68 eV/atom
Mass density   5.1 g/cm3

Cell lengths 4.985, 4.985, 11.068 Å; angles 90.00, 90.00, 90.00 degrees
Space group P-4m2 (No. 115)
One atom of each set of equivalent atoms:
Ba: 0.000 0.500 0.245 x2
Li: 0.500 0.500 0.000 x1
Al: 0.000 0.000 0.000 x1
Al: 0.000 0.500 0.627 x2
Sn: 0.000 0.000 0.500 x1
Sn: 0.000 0.500 0.873 x2
Sn: 0.500 0.500 0.500 x1

=====

[2]
A plane-wave DFT calculation with PBE was carried out for crystalline Ca12InCu6 at its relaxed geometry.

Output
Calculated total energy   -2.83 eV/atom
Mass density   3.0 g/cm3

Cell lengths 10.302, 10.302, 10.302 Å; angles 90.00, 90.00, 90.00 degrees
Space group Im-3 (No. 204)
One atom of each set of equivalent atoms:
Ca: 0.000 0.298 0.183 x24
In: 0.000 0.000 0.000 x2
Cu: 0.000 0.118 0.500 x12

=====

[3]
A plane-wave DFT calculation with PBE was carried out for crystalline NbCoAs2N at its relaxed geometry.

Output
Uncorrected formation energy   534 meV per atom
Mass density   6.9 g/cm3

Cell lengths 4.353, 4.353, 4.036 Å; angles 90.00, 90.00, 90.00 degrees
Space group P4/mmm (No. 123)
One atom of each set of equivalent atoms:
Nb: 0.000 0.000 0.000 x1
Co: 0.500 0.500 0.000 x1
As: 0.000 0.500 0.500 x2
N: 0.000 0.000 0.500 x1

=====

[4]
A plane-wave DFT calculation with PBE was carried out for crystalline TlOsRh2 at its relaxed geometry.

Output
Calculated total energy   -6.52 eV/atom
Mass density   15.5 g/cm3

Cell lengths 4.051, 4.051, 3.917 Å; angles 90.00, 90.00, 90.00 degrees
Space group P4/mmm (No. 123)
One atom of each set of equivalent atoms:
Tl: 0.000 0.000 0.000 x1
Os: 0.500 0.500 0.000 x1
Rh: 0.000 0.500 0.500 x2

=====

[5]
A plane-wave DFT calculation with PBE was carried out for crystalline SrTb6Nd12 at its relaxed geometry.

Output
Calculated total energy   -4.37 eV/atom
Mass density   6.7 g/cm3

Cell lengths 13.5412, 13.5412, 13.0384 Å; angles 90.00, 90.00, 120.00 degrees
Space group R-3m (No. 166, hexagonal axes)
One atom of each set of equivalent atoms:
Sr: 0.0000 0.0000 0.0000 x3
Tb: 0.0345 0.5172 0.6176 x18
Nd: 0.0000 0.2620 0.5000 x18
Nd: 0.0912 0.1825 0.2685 x18

=====

[6]
A plane-wave DFT calculation with PBE was carried out for crystalline PmSm4Zn2 at its relaxed geometry.

Output
Calculated total energy   -3.60 eV/atom
Mass density   6.6 g/cm3

Cell lengths 5.0279, 5.0279, 30.2579 Å; angles 90.00, 90.00, 120.00 degrees
Space group R-3m (No. 166, hexagonal axes)
One atom of each set of equivalent atoms:
Pm: 0.0000 0.0000 0.0000 x3
Sm: 0.0000 0.0000 0.2013 x6
Sm: 0.0000 0.0000 0.3981 x6
Zn: 0.0000 0.0000 0.0999 x6

=====

[7]
A plane-wave DFT calculation with PBE was carried out for crystalline SmY3HoTh at its relaxed geometry.

Output
Calculated total energy   -5.99 eV/atom
Mass density   6.9 g/cm3

Cell lengths 7.994, 5.077, 10.124 Å; angles 90.00, 108.69, 90.00 degrees
Space group P2_1/m (No. 11)
One atom of each set of equivalent atoms:
Sm: 0.171 0.250 0.292 x2
Y: 0.170 0.750 0.543 x2
Y: 0.175 0.750 0.044 x2
Y: 0.176 0.250 0.793 x2
Ho: 0.500 0.250 0.628 x2
Th: 0.500 0.250 0.122 x2

=====

[8]
A plane-wave DFT calculation with PBE was carried out for crystalline ZnAgPb2O6 at its relaxed geometry.

Output
Uncorrected formation energy   -728 meV per atom
Mass density   8.3 g/cm3

Cell lengths 5.6384, 5.6384, 14.8578 Å; angles 90.00, 90.00, 120.00 degrees
Space group R3 (No. 146, hexagonal axes)
One atom of each set of equivalent atoms:
Zn: 0.0000 0.0000 0.0000 x3
Ag: 0.0000 0.0000 0.4977 x3
Pb: 0.0000 0.0000 0.2139 x3
Pb: 0.0000 0.0000 0.7114 x3
O: 0.0125 0.3153 0.6088 x9
O: 0.0502 0.6720 0.7694 x9

=====

[9]
A plane-wave DFT calculation with PBE was carried out for crystalline Nd3CdNi at its relaxed geometry.

Output
Calculated total energy   -4.41 eV/atom
Mass density   7.2 g/cm3

Cell lengths 7.525, 4.772, 8.375 Å; angles 90.00, 111.23, 90.00 degrees
Space group P2_1/m (No. 11)
One atom of each set of equivalent atoms:
Nd: 0.059 0.250 0.248 x2
Nd: 0.306 0.250 0.915 x2
Nd: 0.342 0.750 0.590 x2
Cd: 0.315 0.750 0.185 x2
Ni: 0.058 0.250 0.577 x2

=====

[10]
A plane-wave DFT calculation with PBE was carried out for crystalline NdTmTe2S at its relaxed geometry.

Output
Uncorrected formation energy   -1462 meV per atom
Mass density   6.5 g/cm3

Cell lengths 4.436, 4.436, 15.613 Å; angles 90.00, 90.00, 90.00 degrees
Space group P4/nmm (No. 129, origin choice 2)
One atom of each set of equivalent atoms:
Nd: 0.250 0.250 0.107 x2
Tm: 0.250 0.250 0.610 x2
Te: 0.250 0.250 0.408 x2
Te: 0.250 0.250 0.794 x2
S: 0.250 0.750 0.000 x2

=====

[11]
A plane-wave DFT calculation with PBE was carried out for crystalline Hg2C at its relaxed geometry.

Output
Calculated total energy   -1.59 eV/atom
Mass density   11.5 g/cm3

Cell lengths 3.4309, 3.4309, 11.6828 Å; angles 90.00, 90.00, 120.00 degrees
Space group P6_3/mmc (No. 194)
One atom of each set of equivalent atoms:
Hg: 0.0000 0.0000 0.1195 x4
C: 0.3333 0.6667 0.2500 x2

=====

[12]
A plane-wave DFT calculation with PBE was carried out for crystalline CrCo3W at its relaxed geometry.

Output
Calculated total energy   -7.44 eV/atom
Mass density   9.9 g/cm3

Cell lengths 4.109, 4.109, 4.109 Å; angles 90.00, 90.00, 90.00 degrees
Space group Pm-3m (No. 221)
One atom of each set of equivalent atoms:
Cr: 0.000 0.000 0.000 x1
Co: 0.000 0.000 0.500 x3
W: 0.500 0.500 0.500 x1

=====

[13]
A plane-wave DFT calculation with PBE was carried out for crystalline Li3CePd6 at its relaxed geometry.

Output
Calculated total energy   -4.79 eV/atom
Mass density   8.5 g/cm3

Cell lengths 8.013, 4.286, 9.262 Å; angles 90.00, 100.12, 90.00 degrees
Space group P2_1/m (No. 11)
One atom of each set of equivalent atoms:
Li: 0.046 0.250 0.393 x2
Li: 0.147 0.750 0.176 x2
Li: 0.245 0.250 0.974 x2
Ce: 0.434 0.250 0.626 x2
Pd: 0.035 0.750 0.897 x2
Pd: 0.113 0.250 0.692 x2
Pd: 0.224 0.750 0.477 x2
Pd: 0.324 0.250 0.275 x2
Pd: 0.336 0.750 0.789 x2
Pd: 0.439 0.750 0.086 x2

=====

[14]
A plane-wave DFT calculation with PBE was carried out for crystalline YThCoPd at its relaxed geometry.

Output
Calculated total energy   -7.12 eV/atom
Mass density   9.2 g/cm3

Cell lengths 4.006, 3.802, 11.509 Å; angles 90.00, 90.00, 90.00 degrees
Space group Amm2 (No. 38)
One atom of each set of equivalent atoms:
Y: 0.000 0.000 0.000 x2
Th: 0.500 0.000 0.280 x2
Co: 0.000 0.000 0.747 x2
Pd: 0.500 0.000 0.569 x2

=====

[15]
A plane-wave DFT calculation with PBE was carried out for crystalline ThAl6Cu4 at its relaxed geometry.

Output
Calculated total energy   -4.52 eV/atom
Mass density   6.1 g/cm3

Cell lengths 7.1078, 7.1078, 4.0149 Å; angles 90.00, 90.00, 120.00 degrees
Space group P-6m2 (No. 187)
One atom of each set of equivalent atoms:
Th: 0.0000 0.0000 0.0000 x1
Al: 0.2025 0.4050 0.5000 x3
Al: 0.5347 0.0693 0.0000 x3
Cu: 0.3333 0.6667 0.0000 x1
Cu: 0.4123 0.2061 0.5000 x3

=====

[16]
A plane-wave DFT calculation with PBE was carried out for crystalline MoOs2Rh at its relaxed geometry.

Output
Calculated total energy   -10.09 eV/atom
Mass density   16.4 g/cm3

Cell lengths 2.721, 3.917, 5.508 Å; angles 90.00, 90.00, 90.00 degrees
Space group Pmmm (No. 47)
One atom of each set of equivalent atoms:
Mo: 0.000 0.000 0.000 x1
Os: 0.500 0.500 0.255 x2
Rh: 0.000 0.000 0.500 x1

=====

[17]
A plane-wave DFT calculation with PBE was carried out for crystalline BaLiLuMg at its relaxed geometry.

Output
Calculated total energy   -2.33 eV/atom
Mass density   4.4 g/cm3

Cell lengths 8.050, 8.050, 8.050 Å; angles 90.00, 90.00, 90.00 degrees
Space group F-43m (No. 216)
One atom of each set of equivalent atoms:
Ba: 0.000 0.000 0.000 x4
Li: 0.250 0.250 0.750 x4
Lu: 0.000 0.000 0.500 x4
Mg: 0.250 0.250 0.250 x4

=====

[18]
A plane-wave DFT calculation with PBE was carried out for crystalline Na6HBr5 at its relaxed geometry.

Output
Calculated total energy   -2.94 eV/atom
Mass density   2.9 g/cm3

Cell lengths 7.231, 12.540, 7.209 Å; angles 90.00, 109.46, 90.00 degrees
Space group C2/m (No. 12)
One atom of each set of equivalent atoms:
Na: 0.227 0.000 0.267 x4
Na: 0.236 0.156 0.740 x8
H: 0.000 0.000 0.500 x2
Br: 0.000 0.167 0.000 x4
Br: 0.000 0.333 0.500 x4
Br: 0.000 0.500 0.000 x2

=====

[19]
A plane-wave DFT calculation with PBE was carried out for crystalline NdEuScTl at its relaxed geometry.

Output
Calculated total energy   -5.96 eV/atom
Mass density   7.9 g/cm3

Cell lengths 7.723, 7.723, 7.723 Å; angles 90.00, 90.00, 90.00 degrees
Space group F-43m (No. 216)
One atom of each set of equivalent atoms:
Nd: 0.000 0.000 0.000 x4
Eu: 0.250 0.250 0.750 x4
Sc: 0.000 0.000 0.500 x4
Tl: 0.250 0.250 0.250 x4

=====

[20]
A plane-wave DFT calculation with PBE was carried out for crystalline Na2InBr6 at its relaxed geometry.

Output
Uncorrected formation energy   -935 meV per atom
Mass density   3.5 g/cm3

Cell lengths 6.840, 6.840, 12.934 Å; angles 90.00, 90.00, 90.00 degrees
Space group P4_2/mnm (No. 136)
One atom of each set of equivalent atoms:
Na: 0.000 0.000 0.168 x4
In: 0.000 0.000 0.500 x2
Br: 0.191 0.191 0.348 x8
Br: 0.218 0.218 0.000 x4

=====

[21]
A plane-wave DFT calculation with PBE was carried out for crystalline SrNbSe2F at its relaxed geometry.

Output
Uncorrected formation energy   -1605 meV per atom
Mass density   5.2 g/cm3

Cell lengths 5.194, 5.194, 4.242 Å; angles 90.00, 90.00, 90.00 degrees
Space group P4/mmm (No. 123)
One atom of each set of equivalent atoms:
Sr: 0.000 0.000 0.000 x1
Nb: 0.500 0.500 0.500 x1
Se: 0.000 0.500 0.500 x2
F: 0.500 0.500 0.000 x1

=====

[22]
A plane-wave DFT calculation with PBE was carried out for crystalline ZnFeTc2 at its relaxed geometry.

Output
Calculated total energy   -7.44 eV/atom
Mass density   9.6 g/cm3

Cell lengths 3.719, 3.719, 3.952 Å; angles 90.00, 90.00, 90.00 degrees
Space group P4/mmm (No. 123)
One atom of each set of equivalent atoms:
Zn: 0.000 0.000 0.000 x1
Fe: 0.500 0.500 0.000 x1
Tc: 0.000 0.500 0.500 x2

=====

[23]
A plane-wave DFT calculation with PBE was carried out for crystalline TbPrBeAg at its relaxed geometry.

Output
Calculated total energy   -4.00 eV/atom
Mass density   7.2 g/cm3

Cell lengths 7.264, 7.264, 7.264 Å; angles 90.00, 90.00, 90.00 degrees
Space group F-43m (No. 216)
One atom of each set of equivalent atoms:
Tb: 0.000 0.000 0.000 x4
Pr: 0.000 0.000 0.500 x4
Be: 0.250 0.250 0.750 x4
Ag: 0.250 0.250 0.250 x4